(1)
Compound: BaYTl2
Source: the Alexandria database
Functional: PBE
Structure: optimized geometry

a = 6.0339 Å, b = 6.0339 Å, c = 3.6381 Å
α = 90.00°, β = 90.00°, γ = 102.88°
Fractional coordinates of all 4 atoms:
1 Ba 0.0000 0.5000 0.5000
2 Tl 0.0000 0.0000 0.0000
3 Tl 0.5000 0.5000 0.0000
4 Y 0.5000 0.0000 0.5000

Output
* total magnetic moment: 0.028 μB/f.u.
* symmetry: Cmmm
* density of states at the Fermi level: 2.254 states/eV per cell
* DFT total energy: -14.1 eV/cell
* crystal system: orthorhombic

(2)
Compound: BaYTl2Zn
Source: the Alexandria database
Functional: PBE
Structure: optimized geometry

a = 6.1208 Å, b = 5.6107 Å, c = 6.1208 Å
α = 90.00°, β = 90.00°, γ = 90.00°
Fractional coordinates of all 5 atoms:
1 Y 0.5000 0.5000 0.5000
2 Zn 0.0000 0.5000 0.0000
3 Tl 0.0000 0.0000 0.5000
4 Tl 0.5000 0.0000 0.0000
5 Ba 0.0000 0.0000 0.0000

Output
* total magnetic moment: 0.000 μB/f.u.
* symmetry: P4/mmm
* density of states at the Fermi level: 6.695 states/eV per cell
* DFT total energy: -10.4 eV/cell
* crystal system: tetragonal

(3)
Compound: Ba6TlZn2
Source: the Alexandria database
Functional: PBE
Structure: optimized geometry

a = 10.1495 Å, b = 10.1495 Å, c = 10.1495 Å
α = 108.17°, β = 108.02°, γ = 112.26°
Fractional coordinates of all 18 atoms:
1 Ba 0.5589 0.7333 0.8256
2 Ba 0.4411 0.2667 0.1744
3 Ba 0.0924 0.2667 0.8256
4 Ba 0.9076 0.7333 0.1744
5 Ba 0.8130 0.7492 0.5622
6 Ba 0.1870 0.2508 0.4378
7 Ba 0.1870 0.7492 0.9362
8 Ba 0.8130 0.2508 0.0638
9 Ba 0.6966 0.3640 0.6674
10 Ba 0.3034 0.6360 0.3326
11 Ba 0.3034 0.9709 0.6674
12 Ba 0.6966 0.0291 0.3326
13 Tl 0.0000 0.5000 0.5000
14 Tl 0.0000 0.0000 0.0000
15 Zn 0.5000 0.3919 0.8919
16 Zn 0.5000 0.6081 0.1081
17 Zn 0.6594 0.0000 0.6594
18 Zn 0.3406 0.0000 0.3406

Output
* total magnetic moment: 0.000 μB/f.u.
* symmetry: Immm
* density of states at the Fermi level: 22.559 states/eV per cell
* DFT total energy: -35.8 eV/cell
* crystal system: orthorhombic

(4)
Compound: Ba2Tl2Zn
Source: the Alexandria database
Functional: PBE
Structure: optimized geometry

a = 9.8357 Å, b = 9.8357 Å, c = 4.2361 Å
α = 90.00°, β = 90.00°, γ = 90.00°
Fractional coordinates of all 10 atoms:
1 Zn 0.0000 0.0000 0.0000
2 Zn 0.5000 0.5000 0.0000
3 Tl 0.1129 0.6129 0.5000
4 Tl 0.6129 0.8871 0.5000
5 Tl 0.8871 0.3871 0.5000
6 Tl 0.3871 0.1129 0.5000
7 Ba 0.3157 0.8157 0.0000
8 Ba 0.8157 0.6843 0.0000
9 Ba 0.6843 0.1843 0.0000
10 Ba 0.1843 0.3157 0.0000

Output
* total magnetic moment: 0.000 μB/f.u.
* symmetry: P4/mbm
* offset from the most stable computed form: 223 meV/atom
* density of states at the Fermi level: 11.717 states/eV per cell
* DFT total energy: -20.5 eV/cell
* crystal system: tetragonal

(5)
Compound: Ba6TlZn
Source: the Alexandria database
Functional: PBE
Structure: optimized geometry

a = 6.0590 Å, b = 6.0590 Å, c = 11.8605 Å
α = 75.20°, β = 75.20°, γ = 90.00°
Fractional coordinates of all 8 atoms:
1 Ba 0.7469 0.7469 0.5063
2 Ba 0.5897 0.0898 0.8205
3 Ba 0.0898 0.5898 0.8205
4 Ba 0.4103 0.9102 0.1795
5 Ba 0.2531 0.2531 0.4937
6 Ba 0.9102 0.4102 0.1795
7 Tl 0.5000 0.5000 0.0000
8 Zn 0.0000 0.0000 0.0000

Output
* total magnetic moment: 0.000 μB/f.u.
* symmetry: I4/mmm
* offset from the most stable computed form: 0 meV/atom
* density of states at the Fermi level: 9.456 states/eV per cell
* DFT total energy: -16.4 eV/cell
* crystal system: tetragonal

(6)
Compound: BaTlZn2
Source: the Alexandria database
Functional: PBE
Structure: optimized geometry

a = 5.3776 Å, b = 5.3776 Å, c = 5.3776 Å
α = 119.54°, β = 119.54°, γ = 90.80°
Fractional coordinates of all 4 atoms:
1 Ba 0.5000 0.5000 0.0000
2 Tl 0.7500 0.2500 0.5000
3 Zn 0.0000 0.0000 0.0000
4 Zn 0.2500 0.7500 0.5000

Output
* total magnetic moment: 0.000 μB/f.u.
* symmetry: I-4m2
* density of states at the Fermi level: 1.631 states/eV per cell
* DFT total energy: -7.0 eV/cell
* crystal system: tetragonal

(7)
Compound: Ba2TlZn
Source: the Alexandria database
Functional: PBE
Structure: optimized geometry

a = 5.9563 Å, b = 5.9563 Å, c = 5.9563 Å
α = 60.00°, β = 60.00°, γ = 60.00°
Fractional coordinates of all 4 atoms:
1 Zn 0.0000 0.0000 0.0000
2 Tl 0.5000 0.5000 0.5000
3 Ba 0.2500 0.2500 0.2500
4 Ba 0.7500 0.7500 0.7500

Output
* total magnetic moment: 0.000 μB/f.u.
* symmetry: Fm-3m
* offset from the most stable computed form: 3 meV/atom
* density of states at the Fermi level: 3.672 states/eV per cell
* DFT total energy: -8.6 eV/cell
* crystal system: cubic

(8)
Compound: BaTlZn2
Source: the Alexandria database
Functional: PBE
Structure: optimized geometry

a = 5.2365 Å, b = 5.1452 Å, c = 6.7063 Å
α = 39.96°, β = 90.00°, γ = 90.00°
Fractional coordinates of all 4 atoms:
1 Ba 0.5000 0.5000 0.5000
2 Tl 0.0000 0.0000 0.5000
3 Zn 0.0000 0.0000 0.0000
4 Zn 0.5000 0.5000 0.0000

Output
* total magnetic moment: 0.000 μB/f.u.
* symmetry: P2/m
* density of states at the Fermi level: 3.061 states/eV per cell
* DFT total energy: -6.9 eV/cell
* crystal system: monoclinic

(9)
Compound: Ba12Tl6Zn
Source: the Alexandria database
Functional: PBE
Structure: optimized geometry

a = 10.1710 Å, b = 10.1710 Å, c = 10.1710 Å
α = 99.54°, β = 99.54°, γ = 99.54°
Fractional coordinates of all 19 atoms:
1 Ba 0.8226 0.5680 0.4191
2 Ba 0.4191 0.8226 0.5680
3 Ba 0.5680 0.4191 0.8226
4 Ba 0.1774 0.4320 0.5809
5 Ba 0.5809 0.1774 0.4320
6 Ba 0.4320 0.5809 0.1774
7 Ba 0.0648 0.9518 0.3198
8 Ba 0.0482 0.6802 0.9352
9 Ba 0.6802 0.9352 0.0482
10 Ba 0.9352 0.0482 0.6802
11 Ba 0.9518 0.3198 0.0648
12 Ba 0.3198 0.0648 0.9518
13 Tl 0.7021 0.8636 0.3812
14 Tl 0.6188 0.2979 0.1364
15 Tl 0.1364 0.6188 0.2979
16 Tl 0.2979 0.1364 0.6188
17 Tl 0.3812 0.7021 0.8636
18 Tl 0.8636 0.3812 0.7021
19 Zn 0.0000 0.0000 0.0000

Output
* total magnetic moment: 0.002 μB/f.u.
* symmetry: R-3
* density of states at the Fermi level: 31.206 states/eV per cell
* DFT total energy: -41.2 eV/cell
* crystal system: trigonal

(10)
Compound: Ba2TlZn
Source: the Alexandria database
Functional: PBE
Structure: optimized geometry

a = 10.3428 Å, b = 10.3428 Å, c = 10.3428 Å
α = 24.56°, β = 24.56°, γ = 24.56°
Fractional coordinates of all 4 atoms:
1 Ba 0.0043 0.0043 0.0043
2 Ba 0.4957 0.4957 0.4957
3 Tl 0.2500 0.2500 0.2500
4 Zn 0.7500 0.7500 0.7500

Output
* total magnetic moment: 0.000 μB/f.u.
* symmetry: R-3m
* offset from the most stable computed form: 185 meV/atom
* density of states at the Fermi level: 4.641 states/eV per cell
* DFT total energy: -7.9 eV/cell
* crystal system: trigonal

(11)
Compound: Ba2TlZn3
Source: the Alexandria database
Functional: PBE
Structure: optimized geometry

a = 6.6343 Å, b = 6.6343 Å, c = 9.6412 Å
α = 108.89°, β = 108.89°, γ = 93.39°
Fractional coordinates of all 12 atoms:
1 Ba 0.2500 0.7500 0.5000
2 Ba 0.7580 0.7580 0.0000
3 Ba 0.7500 0.2500 0.5000
4 Ba 0.2420 0.2420 0.0000
5 Tl 0.3357 0.3357 0.6713
6 Tl 0.6643 0.6643 0.3287
7 Zn 0.6763 0.1637 0.8400
8 Zn 0.8363 0.3237 0.1600
9 Zn 0.3237 0.8363 0.1600
10 Zn 0.1637 0.6763 0.8400
11 Zn 0.8383 0.8383 0.6766
12 Zn 0.1617 0.1617 0.3234

Output
* total magnetic moment: 0.000 μB/f.u.
* symmetry: Fmmm
* density of states at the Fermi level: 10.915 states/eV per cell
* DFT total energy: -22.7 eV/cell
* crystal system: orthorhombic

(12)
Compound: BaTl2Zn2
Source: the Alexandria database
Functional: PBE
Structure: optimized geometry

a = 8.4034 Å, b = 8.4034 Å, c = 4.0807 Å
α = 90.00°, β = 90.00°, γ = 90.00°
Fractional coordinates of all 10 atoms:
1 Zn 0.3905 0.8905 0.0000
2 Zn 0.8905 0.6095 0.0000
3 Zn 0.6095 0.1095 0.0000
4 Zn 0.1095 0.3905 0.0000
5 Tl 0.1830 0.6830 0.5000
6 Tl 0.6830 0.8170 0.5000
7 Tl 0.8170 0.3170 0.5000
8 Tl 0.3170 0.1830 0.5000
9 Ba 0.0000 0.0000 0.0000
10 Ba 0.5000 0.5000 0.0000

Output
* total magnetic moment: 0.000 μB/f.u.
* symmetry: P4/mbm
* offset from the most stable computed form: 176 meV/atom
* density of states at the Fermi level: 7.871 states/eV per cell
* DFT total energy: -18.8 eV/cell
* crystal system: tetragonal

(13)
Compound: BaTlZn2
Source: the Alexandria database
Functional: PBE
Structure: optimized geometry

a = 4.0815 Å, b = 3.9956 Å, c = 7.7649 Å
α = 66.19°, β = 90.00°, γ = 90.00°
Fractional coordinates of all 4 atoms:
1 Ba 0.5000 0.2500 0.2500
2 Tl 0.5000 0.7500 0.7500
3 Zn 0.0000 0.0115 0.9467
4 Zn 0.0000 0.4885 0.5533

Output
* total magnetic moment: 0.000 μB/f.u.
* symmetry: P2/m
* density of states at the Fermi level: 2.204 states/eV per cell
* DFT total energy: -7.0 eV/cell
* crystal system: monoclinic